(a)
VASP calculation (PBE) on KP5 after structural relaxation.

Summary:
Fermi-level density of states in states/eV/atom: 0.6752

```
6
Lattice="0.000 4.217 4.217 4.217 0.000 4.217 4.217 4.217 0.000" Properties=species:S:1:pos:R:3 pbc="T T T"
K 0.000 0.000 0.000
P 3.432 3.432 3.432
P 5.002 5.002 3.432
P 5.002 3.432 5.002
P 6.326 6.326 6.326
P 3.432 5.002 5.002
```

(b)
VASP calculation (PBE) on KP5 after structural relaxation.

Summary:
Fermi-level density of states in states/eV/atom: 0.3159

```
6
Lattice="4.588 0.000 0.000 0.000 1.661 8.780 0.000 -1.661 8.780" Properties=species:S:1:pos:R:3 pbc="T T T"
K 0.000 0.000 0.000
P 0.000 0.000 4.487
P 0.000 0.000 11.755
P 2.294 0.000 5.093
P 2.294 0.000 11.045
P 2.294 0.000 15.304
```

(c)
VASP calculation (PBE) on KP5 after structural relaxation.

Summary:
Fermi-level density of states in states/eV/atom: 0.2157

```
6
Lattice="2.820 -6.642 0.000 2.820 6.642 0.000 0.000 0.000 3.294" Properties=species:S:1:pos:R:3 pbc="T T T"
K 0.000 0.000 0.000
P 2.820 3.235 1.647
P 2.820 1.725 0.000
P 2.820 0.000 1.647
P 2.820 -1.725 0.000
P 2.820 -3.235 1.647
```

(d)
VASP calculation (PBE) on KP5 after structural relaxation.

Summary:
Fermi-level density of states in states/eV/atom: 0.2467

```
6
Lattice="6.342 0.000 0.000 -3.171 5.492 0.000 0.000 0.000 3.212" Properties=species:S:1:pos:R:3 pbc="T T T"
K 0.000 0.000 0.000
P -1.438 2.490 1.606
P 0.000 3.661 0.000
P 2.876 0.000 1.606
P 1.733 3.002 1.606
P 3.171 1.831 0.000
```

Least stable: (a)

(a)
VASP calculation (PBE) on K4P5 after structural relaxation.

Summary:
Fermi-level density of states in states/eV/atom: 0.7419

```
18
Lattice="8.946 0.000 0.000 -4.473 7.748 0.000 0.000 0.000 6.410" Properties=species:S:1:pos:R:3 pbc="T T T"
K 0.000 0.000 0.000
K 0.000 0.000 3.205
K -1.485 2.572 1.603
K -2.988 5.175 4.808
K 2.970 0.000 1.603
K 1.485 2.572 4.808
K 5.976 0.000 4.808
K 2.988 5.175 1.603
P -1.572 2.722 4.808
P -2.902 5.026 1.603
P 0.000 5.165 0.000
P 0.000 5.165 3.205
P 3.143 0.000 4.808
P 1.572 2.722 1.603
P 5.803 0.000 1.603
P 2.902 5.026 4.808
P 4.473 2.583 0.000
P 4.473 2.583 3.205
```

(b)
VASP calculation (PBE) on K4P5 after structural relaxation.

Summary:
Fermi-level density of states in states/eV/atom: 0.6405

```
9
Lattice="-7.581 7.581 1.698 7.581 -7.581 1.698 7.581 7.581 -1.698" Properties=species:S:1:pos:R:3 pbc="T T T"
K 3.004 0.000 0.000
K 12.157 0.000 0.000
K 0.000 3.004 0.000
K 0.000 12.157 0.000
P 0.000 0.000 0.000
P 3.308 3.308 0.000
P 4.273 -4.273 1.698
P -4.273 4.273 1.698
P 4.273 4.273 1.698
```

Least stable: (a)

(a)
VASP calculation (PBE) on KPaP2 after structural relaxation.

```
4
Lattice="2.081 1.202 7.572 -2.081 1.202 7.572 0.000 -2.403 7.572" Properties=species:S:1:pos:R:3 pbc="T T T"
K 0.000 0.000 0.000
Pa 0.000 0.000 18.839
P 0.000 0.000 5.068
P 0.000 0.000 9.893
```

(b)
VASP calculation (PBE) on KPaP2 after structural relaxation.

```
4
Lattice="2.089 1.206 7.414 -2.089 1.206 7.414 0.000 -2.413 7.414" Properties=species:S:1:pos:R:3 pbc="T T T"
K 0.000 0.000 0.000
Pa 0.000 0.000 11.121
P 0.000 0.000 5.061
P 0.000 0.000 17.182
```

Least stable: (a)

(a)
VASP calculation (PBE) on K2P2Pb after structural relaxation.

Summary:
Fermi-level density of states in states/eV/atom: 0.3511

```
5
Lattice="-2.325 2.325 6.517 2.325 -2.325 6.517 2.325 2.325 -6.517" Properties=species:S:1:pos:R:3 pbc="T T T"
K 2.325 0.000 3.259
K 0.000 2.325 3.259
P 0.000 0.000 1.079
P 0.000 0.000 11.955
Pb 0.000 0.000 6.517
```

(b)
VASP calculation (PBE) on K2P2Pb after structural relaxation.

Summary:
Fermi-level density of states in states/eV/atom: 0.3549

```
10
Lattice="7.445 0.000 0.000 0.000 7.445 0.000 0.000 0.000 5.195" Properties=species:S:1:pos:R:3 pbc="T T T"
K 1.353 2.370 0.000
K 2.370 6.092 0.000
K 5.076 1.353 0.000
K 6.092 5.076 0.000
P 0.760 4.482 2.598
P 2.963 0.760 2.598
P 4.482 6.686 2.598
P 6.686 2.963 2.598
Pb 0.000 0.000 2.598
Pb 3.723 3.723 2.598
```

Least stable: (a)

(a)
VASP calculation (PBE) on KPPbS2 after structural relaxation.

Summary:
Fermi-level density of states in states/eV/atom: 0.7750

```
5
Lattice="5.748 0.000 0.000 0.000 5.748 0.000 0.000 0.000 5.582" Properties=species:S:1:pos:R:3 pbc="T T T"
K 0.000 0.000 0.000
P 0.000 0.000 2.791
Pb 2.874 2.874 2.791
S 0.000 2.874 0.000
S 2.874 0.000 0.000
```

(b)
VASP calculation (PBE) on KPPbS2 after structural relaxation.

Summary:
Fermi-level density of states in states/eV/atom: 0.8855

```
5
Lattice="5.411 0.000 0.000 0.000 5.411 0.000 0.000 0.000 5.341" Properties=species:S:1:pos:R:3 pbc="T T T"
K 0.000 0.000 0.000
P 2.706 2.706 0.000
Pb 2.706 2.706 2.670
S 0.000 2.706 2.670
S 2.706 0.000 2.670
```

Least stable: (a)

(a)
VASP calculation (PBE) on KPPd3 after structural relaxation.

Summary:
Fermi-level density of states in states/eV/atom: 0.8970

```
5
Lattice="4.900 0.000 0.000 0.000 4.900 0.000 0.000 0.000 4.900" Properties=species:S:1:pos:R:3 pbc="T T T"
K 0.000 0.000 0.000
P 2.450 2.450 2.450
Pd 0.000 0.000 2.450
Pd 0.000 2.450 0.000
Pd 2.450 0.000 0.000
```

(b)
VASP calculation (PBE) on KPPd3 after structural relaxation.

Summary:
Fermi-level density of states in states/eV/atom: 1.0681

```
5
Lattice="4.654 0.000 0.000 0.000 4.654 0.000 0.000 0.000 4.654" Properties=species:S:1:pos:R:3 pbc="T T T"
K 0.000 0.000 0.000
P 2.327 2.327 2.327
Pd 0.000 2.327 2.327
Pd 2.327 0.000 2.327
Pd 2.327 2.327 0.000
```

(c)
VASP calculation (PBE) on KPPd3 after structural relaxation.

Summary:
Fermi-level density of states in states/eV/atom: 0.3434

```
10
Lattice="2.950 -5.243 0.000 2.950 5.243 0.000 0.000 0.000 6.124" Properties=species:S:1:pos:R:3 pbc="T T T"
K 2.950 2.635 4.593
K 2.950 -2.635 1.531
P 2.950 4.181 1.531
P 2.950 -4.181 4.593
Pd 1.454 0.000 0.000
Pd 1.454 0.000 3.062
Pd 2.950 1.891 1.531
Pd 2.950 -1.891 4.593
Pd 4.447 0.000 0.000
Pd 4.447 0.000 3.062
```

Least stable: (a)

(a)
VASP calculation (PBE) on K2P2Pd after structural relaxation.

Summary:
Fermi-level density of states in states/eV/atom: 0.2707

```
10
Lattice="6.292 0.000 0.000 0.000 6.292 0.000 0.000 0.000 5.428" Properties=species:S:1:pos:R:3 pbc="T T T"
K 1.100 2.046 0.000
K 2.046 5.192 0.000
K 4.245 1.100 0.000
K 5.192 4.245 0.000
P 0.814 3.960 2.714
P 2.332 0.814 2.714
P 3.960 5.478 2.714
P 5.478 2.332 2.714
Pd 0.000 0.000 2.714
Pd 3.146 3.146 2.714
```

(b)
VASP calculation (PBE) on K2P2Pd after structural relaxation.

```
10
Lattice="3.188 -7.115 0.000 3.188 7.115 0.000 0.000 0.000 5.959" Properties=species:S:1:pos:R:3 pbc="T T T"
K 3.188 6.037 4.470
K 3.188 3.013 1.490
K 3.188 -3.013 4.470
K 3.188 -6.037 1.490
P 2.099 1.582 4.470
P 2.099 -1.582 1.490
P 4.277 1.582 4.470
P 4.277 -1.582 1.490
Pd 3.188 0.000 0.000
Pd 3.188 0.000 2.980
```

Least stable: (a)

(a)
VASP calculation (PBE) on KP3Pd after structural relaxation.

Summary:
Fermi-level density of states in states/eV/atom: 1.4148

```
5
Lattice="5.143 0.000 0.000 0.000 5.143 0.000 0.000 0.000 5.143" Properties=species:S:1:pos:R:3 pbc="T T T"
K 0.000 0.000 0.000
P 0.000 0.000 2.572
P 0.000 2.572 0.000
P 2.572 0.000 0.000
Pd 2.572 2.572 2.572
```

(b)
VASP calculation (PBE) on KP3Pd after structural relaxation.

Summary:
Fermi-level density of states in states/eV/atom: 0.9803

```
5
Lattice="4.847 0.000 0.000 0.000 4.847 0.000 0.000 0.000 4.847" Properties=species:S:1:pos:R:3 pbc="T T T"
K 0.000 0.000 0.000
P 0.000 2.424 2.424
P 2.424 0.000 2.424
P 2.424 2.424 0.000
Pd 2.424 2.424 2.424
```

Least stable: (a)

(a)
VASP calculation (PBE) on K2RbPPd after structural relaxation.

Summary:
Fermi-level density of states in states/eV/atom: 0.5969

```
5
Lattice="6.397 0.000 0.000 0.000 6.397 0.000 0.000 0.000 4.569" Properties=species:S:1:pos:R:3 pbc="T T T"
K 0.000 3.198 0.000
K 3.198 0.000 0.000
Rb 0.000 0.000 2.284
P 3.198 3.198 0.000
Pd 3.198 3.198 2.284
```

(b)
VASP calculation (PBE) on K2RbPPd after structural relaxation.

Summary:
Fermi-level density of states in states/eV/atom: 0.5499

```
5
Lattice="6.338 0.000 0.000 0.000 6.338 0.000 0.000 0.000 4.591" Properties=species:S:1:pos:R:3 pbc="T T T"
K 0.000 3.169 0.000
K 3.169 0.000 0.000
Rb 0.000 0.000 2.296
P 3.169 3.169 2.296
Pd 3.169 3.169 0.000
```

Least stable: (b)

(a)
VASP calculation (PBE) on KRb2PPd after structural relaxation.

Summary:
Fermi-level density of states in states/eV/atom: 0.5608

```
5
Lattice="6.786 0.000 0.000 0.000 6.786 0.000 0.000 0.000 4.531" Properties=species:S:1:pos:R:3 pbc="T T T"
K 0.000 0.000 0.000
Rb 0.000 3.393 2.265
Rb 3.393 0.000 2.265
P 3.393 3.393 0.000
Pd 3.393 3.393 2.265
```

(b)
VASP calculation (PBE) on KRb2PPd after structural relaxation.

Summary:
Fermi-level density of states in states/eV/atom: 0.3930

```
5
Lattice="6.807 0.000 0.000 0.000 6.807 0.000 0.000 0.000 4.515" Properties=species:S:1:pos:R:3 pbc="T T T"
K 0.000 0.000 0.000
Rb 0.000 3.404 2.257
Rb 3.404 0.000 2.257
P 3.404 3.404 2.257
Pd 3.404 3.404 0.000
```

Least stable: (a)